No. 1
{"formula": "HfNbFe2Pd", "functional": "GGA-PBE", "state": "optimized geometry", "cell": [[4.397, 0.000, 0.000], [0.000, 4.397, 0.000], [0.000, 0.000, 5.116]], "species": ["Hf", "Nb", "Fe", "Fe", "Pd"], "fractional_positions": [[0.000, 0.000, 0.000], [0.000, 0.000, 0.500], [0.000, 0.500, 0.500], [0.500, 0.000, 0.500], [0.500, 0.500, 0.000]], "volume_a3_per_fu": 98.9, "e_tot_ry_per_atom": -0.5276}



No. 2
{"formula": "HfNbFeRe", "functional": "GGA-PBE", "state": "optimized geometry", "cell": [[6.360, 0.000, 0.000], [0.000, 6.360, 0.000], [0.000, 0.000, 6.360]], "species": ["Hf", "Hf", "Hf", "Hf", "Nb", "Nb", "Nb", "Nb", "Fe", "Fe", "Fe", "Fe", "Re", "Re", "Re", "Re"], "fractional_positions": [[0.000, 0.000, 0.000], [0.000, 0.500, 0.500], [0.500, 0.000, 0.500], [0.500, 0.500, 0.000], [0.000, 0.000, 0.500], [0.000, 0.500, 0.000], [0.500, 0.000, 0.000], [0.500, 0.500, 0.500], [0.250, 0.250, 0.750], [0.250, 0.750, 0.250], [0.750, 0.250, 0.250], [0.750, 0.750, 0.750], [0.250, 0.250, 0.250], [0.250, 0.750, 0.750], [0.750, 0.250, 0.750], [0.750, 0.750, 0.250]], "volume_a3_per_fu": 64.3, "e_tot_ry_per_atom": -0.7704}



No. 3
{"formula": "Hf2NbFeRh", "functional": "GGA-PBE", "state": "optimized geometry", "cell": [[4.732, 0.000, 0.000], [0.000, 4.732, 0.000], [0.000, 0.000, 4.442]], "species": ["Hf", "Hf", "Nb", "Fe", "Rh"], "fractional_positions": [[0.000, 0.500, 0.000], [0.500, 0.000, 0.000], [0.000, 0.000, 0.500], [0.000, 0.000, 0.000], [0.500, 0.500, 0.500]], "volume_a3_per_fu": 99.5, "e_tot_ry_per_atom": -0.6467}



No. 4
{"formula": "HfNbFeTc", "functional": "GGA-PBE", "state": "optimized geometry", "cell": [[3.180, 0.000, 0.000], [0.000, 3.180, 0.000], [0.000, 0.000, 6.305]], "species": ["Hf", "Nb", "Fe", "Tc"], "fractional_positions": [[0.000, 0.000, 0.000], [0.000, 0.000, 0.511], [0.500, 0.500, 0.748], [0.500, 0.500, 0.266]], "volume_a3_per_fu": 63.7, "e_tot_ry_per_atom": -0.7374}